(1)
Entry from Alexandria via LeMat-Bulk: a relaxed structure of KCe2GeO8 (PBE).

Unit cell a=4.5887 b=4.6269 c=8.0716 alpha=94.92 beta=93.57 gamma=93.50
Last column: nearest neighbours and their distance in Å.
Fractional coordinates of all 12 atoms:
K: 0.0000 0.0000 0.0000  8 O 2.71-2.94
Ce: 0.4448 0.4463 0.7123  5 O 2.19-2.39
Ce: 0.5552 0.5537 0.2877  5 O 2.19-2.39
Ge: 0.0000 0.0000 0.5000  6 O 1.90-1.97
O: 0.1015 0.7306 0.3131  1 Ge 1.97
O: 0.2548 0.8944 0.6795  1 Ge 1.92
O: 0.2931 0.2858 0.4567  1 Ge 1.90
O: 0.4977 0.6585 0.9942  1 O 1.48
O: 0.5023 0.3415 0.0058  1 O 1.48
O: 0.7069 0.7142 0.5433  1 Ge 1.90
O: 0.7452 0.1056 0.3205  1 Ge 1.92
O: 0.8985 0.2694 0.6869  1 Ge 1.97

Properties
- volume (A^3/atom) = 14.17
- E_form (uncorrected) (eV/atom) = -2.10
- magnetization (μB/cell) = 1.04

---

(2)
Entry from Alexandria via LeMat-Bulk: a relaxed structure of Sr3Ge8Pd3 (PBE).

Unit cell a=8.6716 b=8.6716 c=8.6716 alpha=150.88 beta=105.49 gamma=81.91
Last column: nearest neighbours and their distance in Å.
Fractional coordinates of all 14 atoms:
Sr: 0.0000 0.0000 0.0000  12 Ge 3.37-3.42, 4 Pd 3.66
Sr: 0.3138 0.3138 0.0000  8 Ge 3.23-3.27, 4 Pd 3.27-3.36
Sr: 0.6862 0.6862 0.0000  8 Ge 3.23-3.27, 4 Pd 3.27-3.36
Ge: 0.0262 0.6627 0.3635  1 Pd 2.61, 3 Ge 2.77-2.87
Ge: 0.1709 0.8812 0.2897  3 Pd 2.68-2.70, 3 Ge 2.77-2.96
Ge: 0.2992 0.6627 0.6365  1 Pd 2.61, 3 Ge 2.77-2.87
Ge: 0.4085 0.1188 0.2897  3 Pd 2.68-2.70, 3 Ge 2.77-2.96
Ge: 0.5915 0.8812 0.7103  3 Pd 2.68-2.70, 3 Ge 2.77-2.96
Ge: 0.7008 0.3373 0.3635  1 Pd 2.61, 3 Ge 2.77-2.87
Ge: 0.8291 0.1188 0.7103  3 Pd 2.68-2.70, 3 Ge 2.77-2.96
Ge: 0.9738 0.3373 0.6365  1 Pd 2.61, 3 Ge 2.77-2.87
Pd: 0.2798 0.5000 0.7798  6 Ge 2.61-2.68
Pd: 0.5000 0.0000 0.5000  4 Ge 2.70
Pd: 0.7202 0.5000 0.2202  6 Ge 2.61-2.68

Properties
- energy relative to the elements (eV/atom) = -0.43
- volume (A^3/atom) = 21.41
- offset from the most stable computed form (eV/atom) = 0.036
- magnetization (μB/cell) = 0.00

---

(3)
Entry from Alexandria via LeMat-Bulk: a relaxed structure of BiWN3 (PBE).

Unit cell a=4.0014 b=4.0014 c=4.0014 alpha=90.00 beta=90.00 gamma=90.00
Last column: nearest neighbours and their distance in Å.
Fractional coordinates of all 5 atoms:
Bi: 0.0000 0.0000 0.0000  12 N 2.83
W: 0.5000 0.5000 0.5000  6 N 2.00
N: 0.0000 0.5000 0.5000  2 W 2.00
N: 0.5000 0.0000 0.5000  2 W 2.00
N: 0.5000 0.5000 0.0000  2 W 2.00

Properties
- volume (A^3/atom) = 12.81
- E_form (uncorrected) (eV/atom) = 0.33
- magnetization (μB/cell) = 0.00

---

Repeat the second record exactly.
Entry from Alexandria via LeMat-Bulk: a relaxed structure of Sr3Ge8Pd3 (PBE).

Unit cell a=8.6716 b=8.6716 c=8.6716 alpha=150.88 beta=105.49 gamma=81.91
Last column: nearest neighbours and their distance in Å.
Fractional coordinates of all 14 atoms:
Sr: 0.0000 0.0000 0.0000  12 Ge 3.37-3.42, 4 Pd 3.66
Sr: 0.3138 0.3138 0.0000  8 Ge 3.23-3.27, 4 Pd 3.27-3.36
Sr: 0.6862 0.6862 0.0000  8 Ge 3.23-3.27, 4 Pd 3.27-3.36
Ge: 0.0262 0.6627 0.3635  1 Pd 2.61, 3 Ge 2.77-2.87
Ge: 0.1709 0.8812 0.2897  3 Pd 2.68-2.70, 3 Ge 2.77-2.96
Ge: 0.2992 0.6627 0.6365  1 Pd 2.61, 3 Ge 2.77-2.87
Ge: 0.4085 0.1188 0.2897  3 Pd 2.68-2.70, 3 Ge 2.77-2.96
Ge: 0.5915 0.8812 0.7103  3 Pd 2.68-2.70, 3 Ge 2.77-2.96
Ge: 0.7008 0.3373 0.3635  1 Pd 2.61, 3 Ge 2.77-2.87
Ge: 0.8291 0.1188 0.7103  3 Pd 2.68-2.70, 3 Ge 2.77-2.96
Ge: 0.9738 0.3373 0.6365  1 Pd 2.61, 3 Ge 2.77-2.87
Pd: 0.2798 0.5000 0.7798  6 Ge 2.61-2.68
Pd: 0.5000 0.0000 0.5000  4 Ge 2.70
Pd: 0.7202 0.5000 0.2202  6 Ge 2.61-2.68

Properties
- energy relative to the elements (eV/atom) = -0.43
- volume (A^3/atom) = 21.41
- offset from the most stable computed form (eV/atom) = 0.036
- magnetization (μB/cell) = 0.00